A plane-wave DFT calculation with GGA-PBE was carried out for an optimized crystal structure of MnCoIr2.

Output
The value obtained for the final energy is -8.60 eV/atom. Its calculated volume is 52 Å³/cell. As for the formation energy: -0.097 eV/atom. The symmetry is I4/mmm (139).

abc: 4.507 4.507 4.507
angles: 130.22 130.22 73.06
Last column: magnetic moment on the atom in μB.
Element x y z (fractional)
Mn 0.250 0.750 0.500  2.25
Co 0.750 0.250 0.500  -1.46
Ir 0.500 0.500 0.000  -0.28
Ir 0.000 0.000 0.000  -0.28